(1)
# Tl3BCl6 (PBE, optimized geometry)
data_Tl3BCl6
_chemical_formula_sum 'Tl12 B4 Cl24'
_cell_length_a 12.0110
_cell_length_b 15.2899
_cell_length_c 7.7104
_cell_angle_alpha 90.00
_cell_angle_beta 90.00
_cell_angle_gamma 90.00
_symmetry_space_group_name_H-M 'C m c 21'
_symmetry_Int_Tables_number 36
_symmetry_space_group_name_Hall 'C 2c -2'
loop_
_atom_site_label
_atom_site_type_symbol
_atom_site_fract_x
_atom_site_fract_y
_atom_site_fract_z
Tl1 Tl 0.0000 0.0985 0.0000
Tl2 Tl 0.1998 0.4037 0.9826
B1 B 0.0000 0.3148 0.4223
Cl1 Cl 0.0000 0.3068 0.6620
Cl2 Cl 0.0000 0.4330 0.3534
Cl3 Cl 0.1270 0.2613 0.3314
Cl4 Cl 0.1589 0.0058 0.7358
# **Final energy**: -3.484 eV per atom


(2)
# PrDyAl2Zn2 (PBE, optimized geometry)
data_PrDyAl2Zn2
_chemical_formula_sum 'Pr1 Dy1 Al2 Zn2'
_cell_length_a 4.5235
_cell_length_b 4.5235
_cell_length_c 7.4324
_cell_angle_alpha 90.00
_cell_angle_beta 90.00
_cell_angle_gamma 120.00
_symmetry_space_group_name_H-M 'P -3 m 1'
_symmetry_Int_Tables_number 164
_symmetry_space_group_name_Hall '-P 3 2"'
loop_
_atom_site_label
_atom_site_type_symbol
_atom_site_fract_x
_atom_site_fract_y
_atom_site_fract_z
Pr1 Pr 0.0000 0.0000 0.0000
Dy1 Dy 0.0000 0.0000 0.5000
Al1 Al 0.3333 0.6667 0.7279
Zn1 Zn 0.3333 0.6667 0.2800
# **Formation enthalpy at 0 K**: -0.4463 eV per atom


(3)
# Tl2CoW (PBE, optimized geometry)
data_Tl2CoW
_chemical_formula_sum 'Tl2 Co1 W1'
_cell_length_a 2.9683
_cell_length_b 2.9683
_cell_length_c 8.1843
_cell_angle_alpha 90.00
_cell_angle_beta 90.00
_cell_angle_gamma 90.00
_symmetry_space_group_name_H-M 'P 4/m m m'
_symmetry_Int_Tables_number 123
_symmetry_space_group_name_Hall '-P 4 2'
loop_
_atom_site_label
_atom_site_type_symbol
_atom_site_fract_x
_atom_site_fract_y
_atom_site_fract_z
Tl1 Tl 0.0000 0.0000 0.2231
Co1 Co 0.5000 0.5000 0.0000
W1 W 0.5000 0.5000 0.5000
# **Formation enthalpy at 0 K**: 0.9972 eV per atom
# **Offset from the most stable computed form**: 474 meV/atom


(4)
# NaAsSeS (PBE, optimized geometry)
data_NaAsSeS
_chemical_formula_sum 'Na1 As1 Se1 S1'
_cell_length_a 3.8591
_cell_length_b 4.1731
_cell_length_c 6.2326
_cell_angle_alpha 84.66
_cell_angle_beta 89.94
_cell_angle_gamma 89.86
_symmetry_space_group_name_H-M 'P 1'
_symmetry_Int_Tables_number 1
_symmetry_space_group_name_Hall 'P 1'
loop_
_atom_site_label
_atom_site_type_symbol
_atom_site_fract_x
_atom_site_fract_y
_atom_site_fract_z
Na1 Na 0.0000 0.0000 0.0000
As1 As 0.4990 0.4340 0.4118
Se1 Se 0.0022 0.0366 0.5030
S1 S 0.4998 0.4916 0.0583
# **Final energy**: -3.983 eV per atom


(5)
# HfCrW (PBE, optimized geometry)
data_HfCrW
_chemical_formula_sum 'Hf4 Cr4 W4'
_cell_length_a 5.1547
_cell_length_b 5.3127
_cell_length_c 7.3064
_cell_angle_alpha 90.00
_cell_angle_beta 90.00
_cell_angle_gamma 90.00
_symmetry_space_group_name_H-M 'I m m a'
_symmetry_Int_Tables_number 74
_symmetry_space_group_name_Hall '-I 2b 2'
loop_
_atom_site_label
_atom_site_type_symbol
_atom_site_fract_x
_atom_site_fract_y
_atom_site_fract_z
Hf1 Hf 0.0000 0.2500 0.1230
Cr1 Cr 0.2500 0.2500 0.7500
W1 W 0.0000 0.0000 0.5000
# **Formation enthalpy at 0 K**: -0.1338 eV per atom
# **Offset from the most stable computed form**: 0 meV/atom


(6)
# Ho2ZnAu4 (PBE, optimized geometry)
data_Ho2ZnAu4
_chemical_formula_sum 'Ho4 Zn2 Au8'
_cell_length_a 8.5988
_cell_length_b 5.1122
_cell_length_c 7.8421
_cell_angle_alpha 90.00
_cell_angle_beta 121.85
_cell_angle_gamma 90.00
_symmetry_space_group_name_H-M 'C 1 2/m 1'
_symmetry_Int_Tables_number 12
_symmetry_space_group_name_Hall '-C 2y'
loop_
_atom_site_label
_atom_site_type_symbol
_atom_site_fract_x
_atom_site_fract_y
_atom_site_fract_z
Ho1 Ho 0.0622 0.0000 0.2825
Zn1 Zn 0.0000 0.5000 0.5000
Au1 Au 0.1834 0.5000 0.8867
Au2 Au 0.2189 0.5000 0.2744
# **Formation enthalpy at 0 K**: -0.6764 eV per atom


(7)
# RbScAs2O8 (PBE, optimized geometry)
data_RbScAs2O8
_chemical_formula_sum 'Rb1 Sc1 As2 O8'
_cell_length_a 5.6681
_cell_length_b 5.6681
_cell_length_c 7.9916
_cell_angle_alpha 90.00
_cell_angle_beta 90.00
_cell_angle_gamma 120.00
_symmetry_space_group_name_H-M 'P -3'
_symmetry_Int_Tables_number 147
_symmetry_space_group_name_Hall '-P 3'
loop_
_atom_site_label
_atom_site_type_symbol
_atom_site_fract_x
_atom_site_fract_y
_atom_site_fract_z
Rb1 Rb 0.0000 0.0000 0.0000
Sc1 Sc 0.0000 0.0000 0.5000
As1 As 0.3333 0.6667 0.7226
O1 O 0.1377 0.3375 0.6571
O2 O 0.3333 0.6667 0.9380
# **Final energy**: -6.251 eV per atom


(8)
# NaSnTe3 (PBE, optimized geometry)
data_NaSnTe3
_chemical_formula_sum 'Na1 Sn1 Te3'
_cell_length_a 5.7837
_cell_length_b 5.7837
_cell_length_c 5.7837
_cell_angle_alpha 90.00
_cell_angle_beta 90.00
_cell_angle_gamma 90.00
_symmetry_space_group_name_H-M 'P m -3 m'
_symmetry_Int_Tables_number 221
_symmetry_space_group_name_Hall '-P 4 2 3'
loop_
_atom_site_label
_atom_site_type_symbol
_atom_site_fract_x
_atom_site_fract_y
_atom_site_fract_z
Na1 Na 0.0000 0.0000 0.0000
Sn1 Sn 0.5000 0.5000 0.5000
Te1 Te 0.0000 0.5000 0.5000
# **Offset from the most stable computed form**: 281 meV/atom


(9)
# SrTcAg (PBE, optimized geometry)
data_SrTcAg
_chemical_formula_sum 'Sr2 Tc2 Ag2'
_cell_length_a 2.9858
_cell_length_b 2.9858
_cell_length_c 14.1941
_cell_angle_alpha 90.00
_cell_angle_beta 90.00
_cell_angle_gamma 90.00
_symmetry_space_group_name_H-M 'I 4 m m'
_symmetry_Int_Tables_number 107
_symmetry_space_group_name_Hall 'I 4 -2'
loop_
_atom_site_label
_atom_site_type_symbol
_atom_site_fract_x
_atom_site_fract_y
_atom_site_fract_z
Sr1 Sr 0.0000 0.0000 0.0000
Tc1 Tc 0.0000 0.0000 0.3278
Ag1 Ag 0.0000 0.0000 0.6910
# **Formation enthalpy at 0 K**: 0.7745 eV per atom
# **Offset from the most stable computed form**: 542 meV/atom


(10)
# Rb4ErU3O12 (PBE, optimized geometry)
data_Rb4ErU3O12
_chemical_formula_sum 'Rb8 Er2 U6 O24'
_cell_length_a 8.6903
_cell_length_b 8.6903
_cell_length_c 8.6903
_cell_angle_alpha 90.00
_cell_angle_beta 90.00
_cell_angle_gamma 90.00
_symmetry_space_group_name_H-M 'I m -3 m'
_symmetry_Int_Tables_number 229
_symmetry_space_group_name_Hall '-I 4 2 3'
loop_
_atom_site_label
_atom_site_type_symbol
_atom_site_fract_x
_atom_site_fract_y
_atom_site_fract_z
Rb1 Rb 0.2500 0.2500 0.2500
Er1 Er 0.0000 0.0000 0.0000
U1 U 0.0000 0.0000 0.5000
O1 O 0.0000 0.0000 0.2647
O2 O 0.0000 0.2500 0.5000
# **Final energy**: -7.983 eV per atom


(11)
# Mg2HIr (PBE, optimized geometry)
data_Mg2HIr
_chemical_formula_sum 'Mg8 H4 Ir4'
_cell_length_a 8.7634
_cell_length_b 6.2835
_cell_length_c 6.0329
_cell_angle_alpha 90.00
_cell_angle_beta 132.17
_cell_angle_gamma 90.00
_symmetry_space_group_name_H-M 'C 1 2/c 1'
_symmetry_Int_Tables_number 15
_symmetry_space_group_name_Hall '-C 2yc'
loop_
_atom_site_label
_atom_site_type_symbol
_atom_site_fract_x
_atom_site_fract_y
_atom_site_fract_z
Mg1 Mg 0.2228 0.2195 0.2317
H1 H 0.0000 0.2286 0.7500
Ir1 Ir 0.0000 0.4920 0.7500
# **Offset from the most stable computed form**: 23 meV/atom


(12)
# Ac8NiPt3Br4 (PBE, optimized geometry)
data_Ac8NiPt3Br4
_chemical_formula_sum 'Ac16 Ni2 Pt6 Br8'
_cell_length_a 15.3348
_cell_length_b 8.8546
_cell_length_c 9.6956
_cell_angle_alpha 90.00
_cell_angle_beta 121.86
_cell_angle_gamma 90.00
_symmetry_space_group_name_H-M 'C 1 2/m 1'
_symmetry_Int_Tables_number 12
_symmetry_space_group_name_Hall '-C 2y'
loop_
_atom_site_label
_atom_site_type_symbol
_atom_site_fract_x
_atom_site_fract_y
_atom_site_fract_z
Ac1 Ac 0.0174 0.2463 0.3062
Ac2 Ac 0.2290 0.0000 0.6939
Ac3 Ac 0.2324 0.5000 0.6968
Ni1 Ni 0.0000 0.0000 0.5000
Pt1 Pt 0.0000 0.5000 0.5000
Pt2 Pt 0.2500 0.2500 0.5000
Br1 Br 0.0000 0.0000 0.0000
Br2 Br 0.0000 0.5000 0.0000
Br3 Br 0.2500 0.2500 0.0000
# **Final energy**: -5.188 eV per atom


(13)
# WAu4Cl (PBE, optimized geometry)
data_WAu4Cl
_chemical_formula_sum 'W4 Au16 Cl4'
_cell_length_a 7.8168
_cell_length_b 7.8168
_cell_length_c 7.8168
_cell_angle_alpha 90.00
_cell_angle_beta 90.00
_cell_angle_gamma 90.00
_symmetry_space_group_name_H-M 'F -4 3 m'
_symmetry_Int_Tables_number 216
_symmetry_space_group_name_Hall 'F -4 2 3'
loop_
_atom_site_label
_atom_site_type_symbol
_atom_site_fract_x
_atom_site_fract_y
_atom_site_fract_z
W1 W 0.0000 0.0000 0.0000
Au1 Au 0.1251 0.1251 0.6251
Cl1 Cl 0.2500 0.2500 0.2500
# **Final energy**: -3.856 eV per atom


(14)
# Ba2MnGaCl (PBE, optimized geometry)
data_Ba2MnGaCl
_chemical_formula_sum 'Ba2 Mn1 Ga1 Cl1'
_cell_length_a 6.0368
_cell_length_b 6.0368
_cell_length_c 5.2623
_cell_angle_alpha 90.00
_cell_angle_beta 90.00
_cell_angle_gamma 90.00
_symmetry_space_group_name_H-M 'P 4/m m m'
_symmetry_Int_Tables_number 123
_symmetry_space_group_name_Hall '-P 4 2'
loop_
_atom_site_label
_atom_site_type_symbol
_atom_site_fract_x
_atom_site_fract_y
_atom_site_fract_z
Ba1 Ba 0.0000 0.5000 0.0000
Mn1 Mn 0.0000 0.0000 0.5000
Ga1 Ga 0.5000 0.5000 0.5000
Cl1 Cl 0.5000 0.5000 0.0000
# **Final energy**: -3.708 eV per atom


(15)
# Sm5Zn2Ga2 (PBE, optimized geometry)
data_Sm5Zn2Ga2
_chemical_formula_sum 'Sm20 Zn8 Ga8'
_cell_length_a 16.0882
_cell_length_b 7.5778
_cell_length_c 7.8305
_cell_angle_alpha 90.00
_cell_angle_beta 90.00
_cell_angle_gamma 90.00
_symmetry_space_group_name_H-M 'C m c e'
_symmetry_Int_Tables_number 64
_symmetry_space_group_name_Hall '-C 2ac 2'
loop_
_atom_site_label
_atom_site_type_symbol
_atom_site_fract_x
_atom_site_fract_y
_atom_site_fract_z
Sm1 Sm 0.0000 0.0000 0.0000
Sm2 Sm 0.1437 0.1810 0.3240
Zn1 Zn 0.0000 0.1141 0.6198
Ga1 Ga 0.2103 0.0000 0.0000
# **Formation enthalpy at 0 K**: -0.3347 eV per atom


(16)
# MgTc2Se (PBE, optimized geometry)
data_MgTc2Se
_chemical_formula_sum 'Mg2 Tc4 Se2'
_cell_length_a 5.3318
_cell_length_b 8.8703
_cell_length_c 2.9737
_cell_angle_alpha 90.00
_cell_angle_beta 114.60
_cell_angle_gamma 90.00
_symmetry_space_group_name_H-M 'C 1 2/m 1'
_symmetry_Int_Tables_number 12
_symmetry_space_group_name_Hall '-C 2y'
loop_
_atom_site_label
_atom_site_type_symbol
_atom_site_fract_x
_atom_site_fract_y
_atom_site_fract_z
Mg1 Mg 0.0000 0.0000 0.0000
Tc1 Tc 0.2500 0.2500 0.5000
Se1 Se 0.0000 0.5000 0.0000
# **Offset from the most stable computed form**: 420 meV/atom


(17)
# CdRe2Pb (PBE, optimized geometry)
data_CdRe2Pb
_chemical_formula_sum 'Cd2 Re4 Pb2'
_cell_length_a 4.0670
_cell_length_b 4.0670
_cell_length_c 8.9266
_cell_angle_alpha 90.00
_cell_angle_beta 90.00
_cell_angle_gamma 90.00
_symmetry_space_group_name_H-M 'I 4/m m m'
_symmetry_Int_Tables_number 139
_symmetry_space_group_name_Hall '-I 4 2'
loop_
_atom_site_label
_atom_site_type_symbol
_atom_site_fract_x
_atom_site_fract_y
_atom_site_fract_z
Cd1 Cd 0.0000 0.0000 0.0000
Re1 Re 0.0000 0.5000 0.2500
Pb1 Pb 0.0000 0.0000 0.5000
# **Formation enthalpy at 0 K**: 1.2104 eV per atom
# **Offset from the most stable computed form**: 873 meV/atom


(18)
# Li2CuW (PBE, optimized geometry)
data_Li2CuW
_chemical_formula_sum 'Li4 Cu2 W2'
_cell_length_a 5.2618
_cell_length_b 8.9581
_cell_length_c 2.4947
_cell_angle_alpha 90.00
_cell_angle_beta 90.00
_cell_angle_gamma 90.00
_symmetry_space_group_name_H-M 'C m m m'
_symmetry_Int_Tables_number 65
_symmetry_space_group_name_Hall '-C 2 2'
loop_
_atom_site_label
_atom_site_type_symbol
_atom_site_fract_x
_atom_site_fract_y
_atom_site_fract_z
Li1 Li 0.2500 0.2500 0.0000
Cu1 Cu 0.0000 0.0000 0.5000
W1 W 0.0000 0.5000 0.5000
# **Formation enthalpy at 0 K**: 0.5172 eV per atom
# **Offset from the most stable computed form**: 255 meV/atom


(19)
# SbOsPt2 (PBE, optimized geometry)
data_SbOsPt2
_chemical_formula_sum 'Sb1 Os1 Pt2'
_cell_length_a 3.9532
_cell_length_b 3.9532
_cell_length_c 4.2123
_cell_angle_alpha 90.00
_cell_angle_beta 90.00
_cell_angle_gamma 90.00
_symmetry_space_group_name_H-M 'P 4/m m m'
_symmetry_Int_Tables_number 123
_symmetry_space_group_name_Hall '-P 4 2'
loop_
_atom_site_label
_atom_site_type_symbol
_atom_site_fract_x
_atom_site_fract_y
_atom_site_fract_z
Sb1 Sb 0.0000 0.0000 0.0000
Os1 Os 0.5000 0.5000 0.0000
Pt1 Pt 0.0000 0.5000 0.5000
# **Final energy**: -6.705 eV per atom


(20)
# Sm8Tm6Sc (PBE, optimized geometry)
data_Sm8Tm6Sc
_chemical_formula_sum 'Sm8 Tm6 Sc1'
_cell_length_a 9.8292
_cell_length_b 9.8292
_cell_length_c 5.7869
_cell_angle_alpha 90.00
_cell_angle_beta 90.00
_cell_angle_gamma 120.00
_symmetry_space_group_name_H-M 'P -3'
_symmetry_Int_Tables_number 147
_symmetry_space_group_name_Hall '-P 3'
loop_
_atom_site_label
_atom_site_type_symbol
_atom_site_fract_x
_atom_site_fract_y
_atom_site_fract_z
Sm1 Sm 0.0516 0.2733 0.2641
Sm2 Sm 0.3333 0.6667 0.2644
Tm1 Tm 0.0927 0.4732 0.7543
Sc1 Sc 0.0000 0.0000 0.0000
# **Formation enthalpy at 0 K**: 0.1560 eV per atom
# **Offset from the most stable computed form**: 0 meV/atom


(21)
# NbPBr3 (PBE, optimized geometry)
data_NbPBr3
_chemical_formula_sum 'Nb1 P1 Br3'
_cell_length_a 5.1426
_cell_length_b 5.1426
_cell_length_c 5.1426
_cell_angle_alpha 90.00
_cell_angle_beta 90.00
_cell_angle_gamma 90.00
_symmetry_space_group_name_H-M 'P m -3 m'
_symmetry_Int_Tables_number 221
_symmetry_space_group_name_Hall '-P 4 2 3'
loop_
_atom_site_label
_atom_site_type_symbol
_atom_site_fract_x
_atom_site_fract_y
_atom_site_fract_z
Nb1 Nb 0.0000 0.0000 0.0000
P1 P 0.5000 0.5000 0.5000
Br1 Br 0.0000 0.5000 0.5000
# **Offset from the most stable computed form**: 509 meV/atom


(22)
# Cr4SbSe8 (PBE, optimized geometry)
data_Cr4SbSe8
_chemical_formula_sum 'Cr12 Sb3 Se24'
_cell_length_a 7.2864
_cell_length_b 7.2864
_cell_length_c 20.1340
_cell_angle_alpha 90.00
_cell_angle_beta 90.00
_cell_angle_gamma 120.00
_symmetry_space_group_name_H-M 'R -3 m'
_symmetry_Int_Tables_number 166
_symmetry_space_group_name_Hall '-R 3 2"'
loop_
_atom_site_label
_atom_site_type_symbol
_atom_site_fract_x
_atom_site_fract_y
_atom_site_fract_z
Cr1 Cr 0.0000 0.0000 0.0000
Cr2 Cr 0.0000 0.5000 0.0000
Sb1 Sb 0.0000 0.0000 0.5000
Se1 Se 0.0000 0.0000 0.2630
Se2 Se 0.0028 0.5014 0.2625
# **Final energy**: -5.840 eV per atom


(23)
# Cs2KNaCl (PBE, optimized geometry)
data_Cs2KNaCl
_chemical_formula_sum 'Cs2 K1 Na1 Cl1'
_cell_length_a 7.0712
_cell_length_b 7.0712
_cell_length_c 6.2483
_cell_angle_alpha 90.00
_cell_angle_beta 90.00
_cell_angle_gamma 90.00
_symmetry_space_group_name_H-M 'P 4/m m m'
_symmetry_Int_Tables_number 123
_symmetry_space_group_name_Hall '-P 4 2'
loop_
_atom_site_label
_atom_site_type_symbol
_atom_site_fract_x
_atom_site_fract_y
_atom_site_fract_z
Cs1 Cs 0.0000 0.5000 0.0000
K1 K 0.0000 0.0000 0.5000
Na1 Na 0.5000 0.5000 0.5000
Cl1 Cl 0.5000 0.5000 0.0000
# **Offset from the most stable computed form**: 88 meV/atom


(24)
# GdCdCuPt (PBE, optimized geometry)
data_GdCdCuPt
_chemical_formula_sum 'Gd4 Cd4 Cu4 Pt4'
_cell_length_a 6.7977
_cell_length_b 6.7977
_cell_length_c 6.7977
_cell_angle_alpha 90.00
_cell_angle_beta 90.00
_cell_angle_gamma 90.00
_symmetry_space_group_name_H-M 'F -4 3 m'
_symmetry_Int_Tables_number 216
_symmetry_space_group_name_Hall 'F -4 2 3'
loop_
_atom_site_label
_atom_site_type_symbol
_atom_site_fract_x
_atom_site_fract_y
_atom_site_fract_z
Gd1 Gd 0.0000 0.0000 0.0000
Cd1 Cd 0.0000 0.0000 0.5000
Cu1 Cu 0.2500 0.2500 0.7500
Pt1 Pt 0.2500 0.2500 0.2500
# **Formation enthalpy at 0 K**: -0.5180 eV per atom


Across the entries above, volume takes the values 35.40, 21.95, 18.03, 24.98, 16.67, 20.92, 18.53, 38.69, 21.09, 16.41, 15.39, 34.94, 19.90, 38.35, 26.52, 15.98, 18.46, 14.70, 16.46, 32.28, 27.20, 23.74, 62.48, 19.63 Å³/atom, respectively.